LiTl2Os: relaxed, PBE.

For the energy of formation from the pure elements, the calculation gives 543 meV per atom. The energy above the lowest structure with this stoichiometry is 98.8 meV/atom. The volume is 159.8 Å³/cell.

It has space group C2/m (No. 12), with a = 8.959 Å, b = 3.038 Å, c = 5.937 Å, α = 90.00°, β = 98.37° and γ = 90.00°. The asymmetric unit holds Li at (0.000, 0.000, 0.000), Tl at (0.247, 0.000, 0.744) and Os at (0.000, 0.500, 0.500).



InCo2As: relaxed, PBE.

For the energy of formation from the pure elements, the calculation gives 28 meV per atom. The energy above the lowest structure with this stoichiometry is 0.0 meV/atom. The volume is 123.8 Å³/cell.

It has space group Imm2 (No. 44), with a = 2.885 Å, b = 3.482 Å, c = 12.318 Å, α = 90.00°, β = 90.00° and γ = 90.00°. The asymmetric unit holds In at (0.000, 0.000, 0.000), Co at (0.000, 0.000, 0.629), Co at (0.000, 0.500, 0.309) and As at (0.000, 0.500, 0.754).



Ba2NaAs: relaxed, PBE.

For the energy of formation from the pure elements, the calculation gives -511 meV per atom. The volume is 145.1 Å³/cell.

It has space group P4/mmm (No. 123), with a = 5.645 Å, b = 5.645 Å, c = 4.554 Å, α = 90.00°, β = 90.00° and γ = 90.00°. The asymmetric unit holds Ba at (0.000, 0.500, 0.000), Na at (0.000, 0.000, 0.500) and As at (0.500, 0.500, 0.500).



Pr3Er2Tl3: relaxed, PBE.

For the energy of formation from the pure elements, the calculation gives -266 meV per atom. The volume is 485.2 Å³/cell.

It has space group Immm (No. 71), with a = 4.448 Å, b = 5.119 Å, c = 21.308 Å, α = 90.00°, β = 90.00° and γ = 90.00°. The asymmetric unit holds Pr at (0.000, 0.000, 0.000), Pr at (0.000, 0.500, 0.121), Er at (0.000, 0.000, 0.237), Tl at (0.000, 0.000, 0.500) and Tl at (0.000, 0.500, 0.368).